No. 1
Ce2MgZn6 after structural relaxation, computed with GGA-PBE.

Structure (extended XYZ):
```
9
Lattice="3.151 0.000 0.001 0.001 6.968 4.008 -0.001 0.014 8.039" Properties=species:S:1:pos:R:3 pbc="T T T"
Mg 0.000 0.000 0.000
Zn 1.575 2.248 6.744
Zn 1.574 0.010 5.458
Zn 1.575 4.731 2.722
Zn 1.576 2.251 9.325
Zn 1.576 4.735 5.302
Zn 1.577 6.973 6.588
Ce 3.151 2.327 4.016
Ce 0.000 4.656 8.031
```

Values from the calculation:
SG = P6/mmm, No. 191
E_tot = -2.55 eV/atom

No. 2
CeMg2Zn3 after structural relaxation, computed with GGA-PBE.

Structure (extended XYZ):
```
12
Lattice="-2.109 -2.579 3.456 1.983 -2.210 -3.772 10.520 -0.665 5.922" Properties=species:S:1:pos:R:3 pbc="T T T"
Zn 10.276 -2.943 4.073
Zn 8.065 -0.510 4.540
Zn 0.119 -2.510 1.533
Zn 5.375 -2.843 4.492
Zn 2.455 -0.155 1.382
Zn 5.019 -2.611 1.114
Mg 5.260 -0.333 2.961
Mg 8.077 -3.014 6.013
Mg 0.000 0.000 0.000
Mg 2.317 -2.440 -0.407
Ce 7.588 -2.773 2.560
Ce 2.807 -2.680 3.046
```

Values from the calculation:
SG = P-3m1, No. 164
E_tot = -2.34 eV/atom

No. 3
CeMg4Zn2 after structural relaxation, computed with GGA-PBE.

Structure (extended XYZ):
```
7
Lattice="-1.162 -2.794 -2.872 3.756 0.855 -2.351 2.101 -6.387 5.364" Properties=species:S:1:pos:R:3 pbc="T T T"
Mg 3.887 -4.851 0.116
Mg 2.536 -3.800 2.670
Mg 0.807 -3.476 0.025
Mg 3.320 -1.733 0.343
Ce 0.000 0.000 0.000
Zn 2.809 -6.476 2.133
Zn 1.885 -1.851 -1.992
```

Values from the calculation:
SG = Cmmm, No. 65
E_tot = -2.24 eV/atom

What is the E_tot in the third record?
-2.24 eV/atom